Here is crystalline SrNd2Au at its relaxed geometry from Alexandria. Energies are from PBE.

Calculated values
Density ... 6.74 g cm⁻³
Calculated formation energy ... -0.2749 eV/atom
VASP energy ... -3.899 eV/atom

Unit cell a=3.795 b=3.795 c=9.807 alpha=90.00 beta=90.00 gamma=90.00
Atoms (fractional coordinates):
Sr (0.000, 0.000, 0.000)
Nd (0.500, 0.500, 0.326)
Nd (0.500, 0.500, 0.674)
Au (0.000, 0.000, 0.500)